Below is an optimized crystal structure of PmVGePt, with properties calculated at the PBE level.

Cell: 4.817 4.817 4.817 Å, 60.00 60.00 60.00°
Site moments in Bohr magnetons follow the coordinates.
Element x y z (fractional)
Pt: 0.000 0.000 0.000  0.05
Ge: 0.500 0.500 0.500  -0.09
V: 0.250 0.250 0.250  2.22
Pm: 0.750 0.750 0.750  0.03

**Magnetization**: 2.6 μB/f.u.
**Formation enthalpy at 0 K**: -341 meV/atom



Below is an optimized crystal structure of Pm2VGe3Pt4, with properties calculated at the PBE level.

Cell: 4.258 4.258 10.461 Å, 90.00 90.00 90.00°
Element x y z (fractional)
Pt: 0.500 0.000 0.629
Pt: 0.500 0.500 0.000
Ge: 0.500 0.000 0.863
Pm: 0.000 0.500 0.751
Pt: 0.000 0.500 0.371
Pt: 0.000 0.000 0.000
V: 0.500 0.500 0.500
Ge: 0.000 0.500 0.137
Ge: 0.000 0.000 0.500
Pm: 0.500 0.000 0.249

**Magnetization**: 0.0 μB/f.u.
**Formation enthalpy at 0 K**: -859 meV/atom



Below is an optimized crystal structure of Pm2YGe4Pt3, with properties calculated at the PBE level.

Cell: 4.298 4.298 11.319 Å, 90.00 90.00 90.00°
Element x y z (fractional)
Ge: 0.000 0.500 0.337
Ge: 0.500 0.000 0.663
Y: 0.500 0.500 0.500
Pt: 0.000 0.000 0.500
Pm: 0.500 0.000 0.231
Ge: 0.500 0.500 0.000
Pt: 0.500 0.000 0.882
Pt: 0.000 0.500 0.118
Pm: 0.000 0.500 0.769
Ge: 0.000 0.000 0.000

**Magnetization**: 0.0 μB/f.u.
**Formation enthalpy at 0 K**: -903 meV/atom



Below is an optimized crystal structure of PmY2Ge2Pt7, with properties calculated at the PBE level.

Cell: 4.091 4.091 14.109 Å, 83.36 83.36 89.25°
Element x y z (fractional)
Pt: 0.064 0.564 0.840
Pt: 0.936 0.436 0.160
Ge: 0.603 0.603 0.739
Y: 0.876 0.876 0.359
Pt: 0.436 0.936 0.160
Pm: 0.000 0.000 0.000
Pt: 0.500 0.500 0.000
Y: 0.124 0.124 0.641
Ge: 0.397 0.397 0.261
Pt: 0.564 0.064 0.840
Pt: 0.362 0.362 0.434
Pt: 0.638 0.638 0.566

**Magnetization**: 0.0 μB/f.u.
**Formation enthalpy at 0 K**: -939 meV/atom



Below is an optimized crystal structure of PmZnGe2Pt5, with properties calculated at the PBE level.

Cell: 4.247 4.247 9.074 Å, 90.00 90.00 90.00°
Element x y z (fractional)
Pt: 0.500 0.000 0.734
Ge: 0.500 0.500 0.130
Pt: 0.000 0.500 0.734
Pm: 0.000 0.000 0.500
Zn: 0.000 0.000 0.000
Ge: 0.500 0.500 0.870
Pt: 0.000 0.500 0.266
Pt: 0.500 0.500 0.500
Pt: 0.500 0.000 0.266

**Magnetization**: 0.0 μB/f.u.
**Formation enthalpy at 0 K**: -514 meV/atom



Below is an optimized crystal structure of PmZnGe2Pt2, with properties calculated at the PBE level.

Cell: 4.322 4.322 6.876 Å, 90.00 90.00 120.00°
Element x y z (fractional)
Zn: 0.000 0.000 0.500
Ge: 0.667 0.333 0.270
Pm: 0.000 0.000 0.000
Ge: 0.333 0.667 0.730
Pt: 0.333 0.667 0.325
Pt: 0.667 0.333 0.675

**Magnetization**: 0.0 μB/f.u.
**Formation enthalpy at 0 K**: -726 meV/atom



Below is an optimized crystal structure of PmZnGe2Pt, with properties calculated at the PBE level.

Cell: 4.204 4.204 6.125 Å, 110.07 110.07 90.00°
Element x y z (fractional)
Zn: 0.750 0.250 0.500
Pt: 0.250 0.750 0.500
Ge: 0.616 0.616 0.233
Ge: 0.384 0.384 0.767
Pm: 0.000 0.000 0.000

**Magnetization**: 0.0 μB/f.u.
**Formation enthalpy at 0 K**: -706 meV/atom



Below is an optimized crystal structure of PmZnGePt, with properties calculated at the PBE level.

Cell: 4.804 4.804 4.804 Å, 60.00 60.00 60.00°
Element x y z (fractional)
Pm: 0.750 0.750 0.750
Pt: 0.000 0.000 0.000
Zn: 0.500 0.500 0.500
Ge: 0.250 0.250 0.250

**Magnetization**: 0.0 μB/f.u.
**Formation enthalpy at 0 K**: -547 meV/atom



Below is an optimized crystal structure of Pm3Zn2GePt9, with properties calculated at the PBE level.

Cell: 5.643 5.643 11.613 Å, 90.00 90.00 120.00°
Element x y z (fractional)
Pt: 0.171 0.829 0.344
Pm: 0.333 0.667 0.756
Pt: 0.659 0.829 0.344
Pt: 0.000 0.500 0.000
Pm: 0.667 0.333 0.244
Pt: 0.341 0.171 0.656
Pm: 0.000 0.000 0.000
Pt: 0.829 0.171 0.656
Pt: 0.171 0.341 0.344
Zn: 0.667 0.333 0.830
Pt: 0.500 0.500 0.000
Pt: 0.500 0.000 0.000
Zn: 0.333 0.667 0.170
Ge: 0.000 0.000 0.500
Pt: 0.829 0.659 0.656

**Magnetization**: 0.0 μB/f.u.
**Formation enthalpy at 0 K**: -705 meV/atom



Below is an optimized crystal structure of Pm2ZnGePt6, with properties calculated at the PBE level.

Cell: 5.621 8.354 8.354 Å, 39.32 70.34 90.00°
Element x y z (fractional)
Pm: 0.796 0.204 0.407
Pt: 0.259 0.250 0.991
Pt: 0.250 0.258 0.500
Pt: 0.250 0.750 0.009
Pt: 0.750 0.250 0.991
Ge: 0.000 0.000 0.000
Pm: 0.204 0.796 0.593
Pt: 0.750 0.742 0.500
Zn: 0.500 0.500 0.000
Pt: 0.741 0.750 0.009

**Magnetization**: 0.0 μB/f.u.
**Formation enthalpy at 0 K**: -760 meV/atom



Below is an optimized crystal structure of Pm3ZnGe6Pt2, with properties calculated at the PBE level.

Cell: 5.935 5.935 8.323 Å, 90.00 90.00 120.00°
Element x y z (fractional)
Pm: 0.333 0.667 0.628
Ge: 0.187 0.813 0.279
Pm: 0.667 0.333 0.372
Pt: 0.333 0.667 0.021
Ge: 0.625 0.813 0.279
Ge: 0.813 0.625 0.721
Pt: 0.667 0.333 0.979
Ge: 0.813 0.187 0.721
Ge: 0.187 0.375 0.279
Pm: 0.000 0.000 0.000
Zn: 0.000 0.000 0.500
Ge: 0.375 0.187 0.721

**Magnetization**: 0.0 μB/f.u.
**Formation enthalpy at 0 K**: -400 meV/atom



Below is an optimized crystal structure of PmZnGePt2, with properties calculated at the PBE level.

Cell: 4.134 3.975 6.488 Å, 107.84 108.58 90.00°
Element x y z (fractional)
Zn: 0.189 0.689 0.379
Ge: 0.831 0.831 0.661
Pt: 0.040 0.040 0.081
Pm: 0.447 0.447 0.895
Pt: 0.704 0.204 0.409

**Magnetization**: 0.0 μB/f.u.
**Formation enthalpy at 0 K**: -779 meV/atom



Below is an optimized crystal structure of Pm2ZrGe3Pt4, with properties calculated at the PBE level.

Cell: 4.226 4.226 11.187 Å, 90.00 90.00 90.00°
Element x y z (fractional)
Pt: 0.500 0.000 0.648
Ge: 0.000 0.000 0.500
Ge: 0.000 0.500 0.132
Pt: 0.000 0.000 0.000
Pt: 0.500 0.500 0.000
Pm: 0.000 0.500 0.773
Pt: 0.000 0.500 0.352
Ge: 0.500 0.000 0.868
Zr: 0.500 0.500 0.500
Pm: 0.500 0.000 0.227

**Magnetization**: 0.0 μB/f.u.
**Formation enthalpy at 0 K**: -954 meV/atom



Below is an optimized crystal structure of PmPuGe3, with properties calculated at the PBE level.

Cell: 4.082 4.255 13.556 Å, 99.03 90.00 90.00°
Site moments in Bohr magnetons follow the coordinates.
Element x y z (fractional)
Ge: 0.250 0.473 0.947  0.01
Pu: 0.250 0.072 0.145  -5.37
Ge: 0.750 0.527 0.053  0.01
Pm: 0.250 0.797 0.595  -0.04
Ge: 0.750 0.318 0.635  0.01
Ge: 0.250 0.682 0.365  0.01
Pu: 0.750 0.928 0.855  -5.37
Ge: 0.250 0.379 0.758  0.01
Ge: 0.750 0.621 0.242  0.01
Pm: 0.750 0.203 0.405  -0.04

**Magnetization**: 5.8 μB/f.u.
**Formation enthalpy at 0 K**: -510 meV/atom



Below is an optimized crystal structure of Pm5Pu2Ge5, with properties calculated at the PBE level.

Cell: 4.157 7.341 12.407 Å, 106.04 90.00 106.45°
Site moments in Bohr magnetons follow the coordinates.
Element x y z (fractional)
Pm: 0.262 0.525 0.647  -0.03
Ge: 0.701 0.402 0.804  -0.06
Ge: 0.299 0.598 0.196  -0.06
Ge: 0.884 0.768 0.576  -0.05
Pm: 0.656 0.311 0.046  0.06
Pu: 0.046 0.091 0.784  5.33
Ge: 0.000 0.000 0.000  -0.09
Pu: 0.954 0.909 0.216  5.33
Pm: 0.344 0.689 0.954  0.06
Ge: 0.116 0.232 0.424  -0.05
Pm: 0.738 0.475 0.353  -0.03
Pm: 0.500 0.000 0.500  0.01

**Magnetization**: 11.3 μB/f.u.
**Formation enthalpy at 0 K**: -512 meV/atom



Below is an optimized crystal structure of Pm3PuGe2, with properties calculated at the PBE level.

Cell: 7.268 7.268 4.208 Å, 90.00 90.00 120.00°
Site moments in Bohr magnetons follow the coordinates.
Element x y z (fractional)
Pm: 0.500 0.500 0.000  0.07
Ge: 0.667 0.333 0.500  -0.03
Pm: 0.000 0.500 0.000  0.07
Ge: 0.333 0.667 0.500  -0.03
Pm: 0.500 0.000 0.000  0.07
Pu: 0.000 0.000 0.500  5.70

**Magnetization**: 6.8 μB/f.u.
**Formation enthalpy at 0 K**: -292 meV/atom



Below is an optimized crystal structure of Pm2Pu3Ge3, with properties calculated at the PBE level.

Cell: 4.204 4.764 10.358 Å, 103.29 101.71 90.00°
Site moments in Bohr magnetons follow the coordinates.
Element x y z (fractional)
Pm: 0.732 0.232 0.464  0.03
Ge: 0.000 0.500 0.000  -0.08
Ge: 0.876 0.876 0.752  -0.07
Pu: 0.608 0.608 0.216  5.39
Ge: 0.124 0.124 0.248  -0.07
Pm: 0.268 0.768 0.536  0.03
Pu: 0.392 0.392 0.784  5.39
Pu: 0.500 0.000 0.000  5.45

**Magnetization**: 16.9 μB/f.u.
**Formation enthalpy at 0 K**: -314 meV/atom



Below is an optimized crystal structure of PmPuGe4, with properties calculated at the PBE level.

Cell: 5.629 5.629 5.629 Å, 60.00 60.00 60.00°
Site moments in Bohr magnetons follow the coordinates.
Element x y z (fractional)
Ge: 0.626 0.123 0.626  0.01
Ge: 0.626 0.626 0.626  0.01
Ge: 0.626 0.626 0.123  0.01
Ge: 0.123 0.626 0.626  0.01
Pu: 0.000 0.000 0.000  5.66
Pm: 0.250 0.250 0.250  0.33

**Magnetization**: 6.8 μB/f.u.
**Formation enthalpy at 0 K**: -339 meV/atom



Below is an optimized crystal structure of Pm2Pu3Ge4, with properties calculated at the PBE level.

Cell: 7.539 7.855 7.882 Å, 90.00 90.00 108.42°
Site moments in Bohr magnetons follow the coordinates.
Element x y z (fractional)
Ge: 0.628 0.517 0.622  0.00
Pu: 0.256 0.748 0.184  -5.23
Ge: 0.357 0.074 0.969  0.01
Pu: 0.756 0.748 0.316  -5.23
Pu: 0.500 0.500 0.000  5.11
Ge: 0.872 0.483 0.122  0.00
Ge: 0.143 0.926 0.469  0.01
Ge: 0.372 0.483 0.378  0.00
Pu: 0.000 0.500 0.500  5.11
Pm: 0.569 0.189 0.321  -0.03
Pm: 0.931 0.811 0.821  -0.03
Pm: 0.069 0.189 0.179  -0.03
Ge: 0.128 0.517 0.878  0.00
Ge: 0.643 0.926 0.031  0.01
Pu: 0.744 0.252 0.816  -5.23
Pu: 0.244 0.252 0.684  -5.23
Pm: 0.431 0.811 0.679  -0.03
Ge: 0.857 0.074 0.531  0.01

**Magnetization**: 6.0 μB/f.u.
**Formation enthalpy at 0 K**: -555 meV/atom



Below is an optimized crystal structure of Pm8PuGe6, with properties calculated at the PBE level.

Cell: 8.861 8.861 8.069 Å, 56.70 56.70 60.00°
Site moments in Bohr magnetons follow the coordinates.
Element x y z (fractional)
Pm: 0.668 0.668 0.996  -0.01
Ge: 0.068 0.732 0.794  -0.03
Pm: 0.429 0.774 0.692  0.03
Pm: 0.895 0.571 0.308  0.03
Ge: 0.732 0.406 0.794  -0.03
Pm: 0.571 0.226 0.308  0.03
Ge: 0.406 0.068 0.794  -0.03
Ge: 0.594 0.932 0.206  -0.03
Pm: 0.332 0.332 0.004  -0.01
Pm: 0.226 0.895 0.308  0.03
Pm: 0.105 0.429 0.692  0.03
Ge: 0.932 0.268 0.206  -0.03
Pu: 0.000 0.000 0.000  5.51
Ge: 0.268 0.594 0.206  -0.03
Pm: 0.774 0.105 0.692  0.03

**Magnetization**: 5.9 μB/f.u.
**Formation enthalpy at 0 K**: -595 meV/atom